# 1
Er5Tl2AgRh2 | PBE | relaxed

Cell lengths 3.6080, 11.6836, 11.6836 Å; angles 90.00, 90.00, 90.00 degrees
With the nearest neighbours (Å) after each atom.
Sites, in units of the cell vectors:
1 Rh 0.0000 0.8669 0.3669  6 Er 2.72-2.84
2 Rh 0.0000 0.3669 0.1331  6 Er 2.72-2.84
3 Rh 0.0000 0.6331 0.8669  6 Er 2.72-2.84
4 Rh 0.0000 0.1331 0.6331  6 Er 2.72-2.84
5 Er 0.5000 0.2984 0.5774  2 Rh 2.72
6 Er 0.5000 0.2016 0.0774  2 Rh 2.72
7 Er 0.5000 0.5774 0.7016  2 Rh 2.72
8 Er 0.5000 0.5000 0.0000  4 Rh 2.84
9 Er 0.5000 0.7016 0.4226  2 Rh 2.72
10 Er 0.5000 0.4226 0.2984  2 Rh 2.72
11 Er 0.5000 0.0000 0.5000  4 Rh 2.84
12 Er 0.5000 0.7984 0.9226  2 Rh 2.72
13 Er 0.5000 0.0774 0.7984  2 Rh 2.72
14 Er 0.5000 0.9226 0.2016  2 Rh 2.72
15 Tl 0.0000 0.3282 0.8282  3 Rh 3.22-3.59, 6 Er 3.36-3.46, 2 Tl 3.61
16 Tl 0.0000 0.1718 0.3282  3 Rh 3.22-3.59, 6 Er 3.36-3.46, 2 Tl 3.61
17 Tl 0.0000 0.8282 0.6718  3 Rh 3.22-3.59, 6 Er 3.36-3.46, 2 Tl 3.61
18 Tl 0.0000 0.6718 0.1718  3 Rh 3.22-3.59, 6 Er 3.36-3.46, 2 Tl 3.61
19 Ag 0.0000 0.0000 0.0000  8 Er 3.10
20 Ag 0.0000 0.5000 0.5000  8 Er 3.10

=====

# 2
Er4TlAg2Rh | PBE | relaxed

Cell lengths 5.0916, 5.0916, 8.7514 Å; angles 73.09, 73.09, 60.00 degrees
With the nearest neighbours (Å) after each atom.
Sites, in units of the cell vectors:
1 Ag 0.2565 0.2565 0.2306  8 Er 3.00-3.24
2 Ag 0.7435 0.7435 0.7694  8 Er 3.00-3.24
3 Rh 0.5000 0.5000 0.5000  8 Er 2.84-3.06
4 Er 0.3850 0.3850 0.8449  1 Rh 2.84, 4 Ag 3.00-3.18
5 Er 0.6150 0.6150 0.1551  1 Rh 2.84, 4 Ag 3.00-3.18
6 Er 0.8681 0.8681 0.3958  3 Rh 3.06, 4 Ag 3.08-3.24, 1 Tl 3.26, 3 Er 3.40
7 Er 0.1319 0.1319 0.6042  3 Rh 3.06, 4 Ag 3.08-3.24, 1 Tl 3.26, 3 Er 3.40
8 Tl 0.0000 0.0000 0.0000  8 Er 3.21-3.26, 6 Ag 3.50

=====

# 3
ErTlAgRh | PBE | relaxed

Cell lengths 4.8432, 4.8432, 4.8432 Å; angles 60.00, 60.00, 60.00 degrees
With the nearest neighbours (Å) after each atom.
Sites, in units of the cell vectors:
1 Rh 0.2500 0.2500 0.2500  4 Tl 2.97, 4 Er 2.97
2 Ag 0.7500 0.7500 0.7500  4 Tl 2.97, 4 Er 2.97
3 Tl 0.5000 0.5000 0.5000  4 Rh 2.97, 4 Ag 2.97
4 Er 0.0000 0.0000 0.0000  4 Ag 2.97, 4 Rh 2.97

=====

# 4
YErAgRh | PBE | relaxed

Cell lengths 3.5038, 3.5038, 7.1326 Å; angles 90.00, 90.00, 90.00 degrees
With the nearest neighbours (Å) after each atom.
Sites, in units of the cell vectors:
1 Y 0.0000 0.0000 0.8373  4 Rh 3.00, 4 Ag 3.16, 1 Er 3.28
2 Ag 0.5000 0.5000 0.1127  4 Er 3.11, 4 Y 3.16, 1 Rh 3.48
3 Er 0.0000 0.0000 0.3774  4 Rh 2.94, 4 Ag 3.11, 1 Y 3.28
4 Rh 0.5000 0.5000 0.6005  4 Er 2.94, 4 Y 3.00

- offset from the most stable computed form (kcal/mol of atoms) = 0.00

=====

Number 1: energy of formation from the pure elements -0.530 eV per atom, N(E_F) 7.757 states/eV per cell, size of the total moment 0.000 μB per formula unit. Number 2: energy of formation from the pure elements -0.500 eV per atom, N(E_F) 3.143 states/eV per cell, size of the total moment 0.000 μB per formula unit. Number 3: energy of formation from the pure elements -0.310 eV per atom, N(E_F) 2.781 states/eV per cell, size of the total moment 0.000 μB per formula unit. Number 4: energy of formation from the pure elements -0.605 eV per atom, N(E_F) 4.720 states/eV per cell, size of the total moment 0.000 μB per formula unit.